# Te4I

Crystalline Te4I at its relaxed geometry (PBE, Alexandria via LeMat-Bulk).

Lattice parameters (Å, degrees): 5.818 5.818 5.818 90.00 90.00 90.00
Positions (direct):
Te: 0.000 0.000 0.000
Te: 0.000 0.500 0.500
Te: 0.500 0.000 0.500
Te: 0.500 0.500 0.000
I: 0.500 0.500 0.500

Values from the calculation:
Formation energy without anion corrections, eV/atom: 0.977
Size of the total moment, μB per atom: 0.00
Density of states at the Fermi level, states/eV/atom: 2.1071
Energy above the lowest structure with this stoichiometry, meV/atom: 921

---

# KSrSc

Crystalline KSrSc at its relaxed geometry (PBE, Alexandria via LeMat-Bulk).

Lattice parameters (Å, degrees): 3.860 3.860 10.134 90.00 90.00 120.00
Positions (direct):
K: 0.000 0.000 0.000
Sr: 0.333 0.667 0.611
Sc: 0.667 0.333 0.331

Values from the calculation:
Size of the total moment, μB per atom: 0.46
Density of states at the Fermi level, states/eV/atom: 1.6310
Energy above the lowest structure with this stoichiometry, meV/atom: 0
Calculated formation energy, meV per atom: 443

---

# TmSc2Nb

Crystalline TmSc2Nb at its relaxed geometry (PBE, Alexandria via LeMat-Bulk).

Lattice parameters (Å, degrees): 4.534 4.534 4.508 90.00 90.00 90.00
Positions (direct):
Tm: 0.000 0.000 0.000
Sc: 0.000 0.500 0.500
Sc: 0.500 0.000 0.500
Nb: 0.500 0.500 0.000

Values from the calculation:
Size of the total moment, μB per atom: 0.00
Density of states at the Fermi level, states/eV/atom: 1.1921
Energy above the lowest structure with this stoichiometry, meV/atom: 13
Calculated formation energy, meV per atom: 157

---

# Mg2SiRh2

Crystalline Mg2SiRh2 at its relaxed geometry (PBE, Alexandria via LeMat-Bulk).

Lattice parameters (Å, degrees): 6.141 6.141 4.316 90.00 90.00 90.00
Positions (direct):
Mg: 0.164 0.336 0.000
Mg: 0.336 0.836 0.000
Mg: 0.664 0.164 0.000
Mg: 0.836 0.664 0.000
Si: 0.000 0.000 0.500
Si: 0.500 0.500 0.500
Rh: 0.153 0.653 0.500
Rh: 0.347 0.153 0.500
Rh: 0.653 0.847 0.500
Rh: 0.847 0.347 0.500

Values from the calculation:
Formation energy without anion corrections, eV/atom: -0.668
Size of the total moment, μB per atom: 0.00
Density of states at the Fermi level, states/eV/atom: 0.5159

---

# Pr3Dy3Cd2

Crystalline Pr3Dy3Cd2 at its relaxed geometry (PBE, Alexandria via LeMat-Bulk).

Lattice parameters (Å, degrees): 6.505 6.505 15.925 90.00 90.00 131.66
Positions (direct):
Pr: 0.038 0.962 0.607
Pr: 0.038 0.962 0.893
Pr: 0.269 0.731 0.750
Pr: 0.731 0.269 0.250
Pr: 0.962 0.038 0.107
Pr: 0.962 0.038 0.393
Dy: 0.357 0.643 0.535
Dy: 0.357 0.643 0.965
Dy: 0.452 0.548 0.250
Dy: 0.548 0.452 0.750
Dy: 0.643 0.357 0.035
Dy: 0.643 0.357 0.465
Cd: 0.235 0.765 0.133
Cd: 0.235 0.765 0.367
Cd: 0.765 0.235 0.633
Cd: 0.765 0.235 0.867

Values from the calculation:
Size of the total moment, μB per atom: 0.00
Density of states at the Fermi level, states/eV/atom: 1.1285
Calculated formation energy, meV per atom: -72

---

# Tm2BeRh2

Crystalline Tm2BeRh2 at its relaxed geometry (PBE, Alexandria via LeMat-Bulk).

Lattice parameters (Å, degrees): 6.999 6.999 6.999 130.19 70.78 133.15
Positions (direct):
Tm: 0.131 0.177 0.308
Tm: 0.369 0.677 0.047
Tm: 0.631 0.323 0.953
Tm: 0.869 0.823 0.692
Be: 0.250 0.750 0.500
Be: 0.750 0.250 0.500
Rh: 0.125 0.685 0.810
Rh: 0.375 0.185 0.560
Rh: 0.625 0.815 0.440
Rh: 0.875 0.315 0.190

Values from the calculation:
Size of the total moment, μB per atom: 0.00
Density of states at the Fermi level, states/eV/atom: 0.6204
Energy above the lowest structure with this stoichiometry, meV/atom: 124
Calculated formation energy, meV per atom: -652

---

Number 1: electronic total energy -9.2 eV/cell. Number 2: electronic total energy -7.8 eV/cell. Number 3: electronic total energy -26.6 eV/cell. Number 4: electronic total energy -53.3 eV/cell. Number 5: electronic total energy -61.1 eV/cell. Number 6: electronic total energy -61.3 eV/cell.